No. 1
VASP calculation (PBE-GGA) on crystalline HfFeTcW at its relaxed geometry.

Cell lengths 4.437, 4.437, 4.437 Å; angles 60.00, 60.00, 60.00 degrees
Site moments in Bohr magnetons follow the coordinates.
Atoms (fractional coordinates):
Tc1 0.750 0.750 0.750  -0.03
Hf1 0.500 0.500 0.500  -0.12
Fe1 0.250 0.250 0.250  1.15
W1 0.000 0.000 0.000  -0.06

Results
magnetic moment: 0.838 μB/f.u.
DOS(E_F): 3.60 states/eV/cell
energy: -10.583 eV per atom
space group: No. 216

=====

No. 2
VASP calculation (PBE-GGA) on crystalline Na3Sb3As2O14 at its relaxed geometry.

Cell lengths 7.383, 6.567, 12.720 Å; angles 72.92, 90.00, 90.00 degrees
Atoms (fractional coordinates):
O1 0.005 0.066 0.196
O2 0.404 0.612 0.569
Sb1 0.500 0.000 0.000
O3 0.311 0.331 0.244
Sb2 0.759 0.976 0.254
Na1 0.500 0.000 0.500
O4 0.727 0.294 0.238
O5 0.904 0.388 0.931
O6 0.204 0.968 0.405
O7 0.596 0.388 0.431
O8 0.227 0.706 0.262
Sb3 0.741 0.976 0.754
O9 0.796 0.032 0.595
O10 0.096 0.612 0.069
O11 0.190 0.101 0.584
Na2 0.289 0.464 0.431
As1 0.266 0.585 0.160
As2 0.234 0.585 0.660
O12 0.773 0.294 0.738
O13 0.495 0.066 0.696
O14 0.296 0.968 0.905
O15 0.690 0.899 0.916
O16 0.704 0.032 0.095
Na3 0.711 0.536 0.569
O17 0.310 0.101 0.084
O18 0.531 0.317 0.908
O19 0.469 0.683 0.092
Sb4 0.241 0.024 0.746
O20 0.505 0.934 0.304
Sb5 0.000 0.000 0.500
O21 0.969 0.317 0.408
O22 0.811 0.669 0.256
Na4 0.000 0.000 0.000
Na5 0.211 0.464 0.931
O23 0.031 0.683 0.592
O24 0.995 0.934 0.804
As3 0.734 0.415 0.840
Sb6 0.259 0.024 0.246
O25 0.810 0.899 0.416
O26 0.189 0.331 0.744
O27 0.689 0.669 0.756
O28 0.273 0.706 0.762
Na6 0.789 0.536 0.069
As4 0.766 0.415 0.340

Results
magnetic moment: 0.000 μB/f.u.
energy: -5.804 eV per atom
E_form (uncorrected): -32.6 eV per formula unit
space group: No. 14

=====

No. 3
VASP calculation (PBE-GGA) on crystalline YMo2P at its relaxed geometry.

Cell lengths 3.055, 3.055, 8.246 Å; angles 90.00, 90.00, 110.97 degrees
Atoms (fractional coordinates):
Mo1 0.000 0.000 0.696
P1 0.500 0.500 0.500
Y1 0.500 0.500 0.000
Mo2 0.000 0.000 0.304

Results
magnetic moment: 0.000 μB/f.u.
DOS(E_F): 3.59 states/eV/cell
energy: -8.248 eV per atom
space group: No. 65

=====

No. 4
VASP calculation (PBE-GGA) on crystalline CaHoZnAu at its relaxed geometry.

Cell lengths 5.084, 5.084, 5.084 Å; angles 60.00, 60.00, 60.00 degrees
Atoms (fractional coordinates):
Zn1 0.000 0.000 0.000
Ca1 0.250 0.250 0.250
Au1 0.500 0.500 0.500
Ho1 0.750 0.750 0.750

Results
magnetic moment: 0.000 μB/f.u.
DOS(E_F): 2.39 states/eV/cell
energy: -3.330 eV per atom
energy relative to the lowest polymorph listed for this composition: 0.021 eV per atom
space group: No. 216

=====

No. 5
VASP calculation (PBE-GGA) on crystalline HoSc3O6 at its relaxed geometry.

Cell lengths 3.202, 8.717, 8.840 Å; angles 108.05, 90.00, 90.00 degrees
Atoms (fractional coordinates):
O1 0.750 0.924 0.093
Ho1 0.250 0.944 0.306
O2 0.750 0.796 0.757
Sc1 0.750 0.167 0.091
Sc2 0.250 0.322 0.491
Sc3 0.250 0.550 0.169
O3 0.250 0.602 0.940
O4 0.750 0.464 0.602
O5 0.750 0.724 0.271
O6 0.250 0.204 0.243
Sc4 0.250 0.833 0.909
O7 0.250 0.276 0.729
Sc5 0.750 0.450 0.831
O8 0.250 0.884 0.544
Ho2 0.750 0.056 0.694
O9 0.750 0.398 0.060
Sc6 0.750 0.678 0.509
O10 0.750 0.116 0.456
O11 0.250 0.536 0.398
O12 0.250 0.076 0.907

Results
magnetic moment: 0.000 μB/f.u.
DOS(E_F): 0.00 states/eV/cell
energy: -8.845 eV per atom
E_form (uncorrected): -35.1 eV per formula unit
space group: No. 11

=====

No. 6
VASP calculation (PBE-GGA) on crystalline AlOs2Au at its relaxed geometry.

Cell lengths 2.790, 2.790, 9.134 Å; angles 90.00, 90.00, 118.94 degrees
Site moments in Bohr magnetons follow the coordinates.
Atoms (fractional coordinates):
Al1 0.000 0.000 0.489  0.00
Os1 0.500 0.500 0.257  0.18
Os2 0.000 0.000 0.017  0.47
Au1 0.500 0.500 0.737  0.01

Results
magnetic moment: 0.698 μB/f.u.
DOS(E_F): 3.36 states/eV/cell
energy: -7.031 eV per atom
space group: No. 35

=====

Question: The highest magnetic moment belongs to which entry?
Answer: HfFeTcW

=====

What did the sixth record say?
VASP calculation (PBE-GGA) on crystalline AlOs2Au at its relaxed geometry.

Cell lengths 2.790, 2.790, 9.134 Å; angles 90.00, 90.00, 118.94 degrees
Site moments in Bohr magnetons follow the coordinates.
Atoms (fractional coordinates):
Al1 0.000 0.000 0.489  0.00
Os1 0.500 0.500 0.257  0.18
Os2 0.000 0.000 0.017  0.47
Au1 0.500 0.500 0.737  0.01

Results
magnetic moment: 0.698 μB/f.u.
DOS(E_F): 3.36 states/eV/cell
energy: -7.031 eV per atom
space group: No. 35

=====

Question: The highest magnetic moment belongs to which entry?
Answer: HfFeTcW

=====

Question: Look up the magnetic moment of the third one.
Answer: 0.000 μB/f.u.